Arrangement one

SbPSeO2: optimized geometry, GGA-PBE.

a b c (Å): 3.847 3.847 5.858
angles (deg): 90.00 90.00 90.00
Sites, in units of the cell vectors:
Sb1 0.000 0.000 0.000
P1 0.000 0.000 0.500
Se1 0.500 0.500 0.500
O1 0.000 0.500 0.000
O2 0.500 0.000 0.000

Computed properties:
- DOS(E_F) (states/eV/cell) = 4.43
- space group = P4/mmm (123)

---

Arrangement two

SbPSeO2: optimized geometry, GGA-PBE.

a b c (Å): 3.951 3.951 4.972
angles (deg): 90.00 90.00 90.00
Sites, in units of the cell vectors:
Sb1 0.000 0.000 0.000
P1 0.500 0.500 0.000
Se1 0.500 0.500 0.500
O1 0.000 0.500 0.500
O2 0.500 0.000 0.500

Computed properties:
- DOS(E_F) (states/eV/cell) = 1.05
- space group = P4/mmm (123)

---

It is arrangement two that is the least stable of them.